Density functional theory data (PBE-GGA) for ScSi2Rh after structural relaxation.

Results
formation energy (no corrections) = -584 meV per atom

Cell: 8.545 3.208 4.749 Å, 90.00 102.72 90.00°
Space group Cm (No. 8)
Symmetry-distinct sites (fractional):
Sc: 0.000 0.000 0.000 [2 per cell]
Si: 0.262 0.500 0.295 [2 per cell]
Si: 0.497 0.000 0.487 [2 per cell]
Rh: 0.230 0.000 0.657 [2 per cell]


Density functional theory data (PBE-GGA) for ReNiTe2 after structural relaxation.

Results
excess energy over the best structure of this formula in the dataset = 0 meV/atom
formation energy (no corrections) = 105 meV per atom

Cell: 3.864 3.864 6.509 Å, 90.00 90.00 90.00°
Space group P-4m2 (No. 115)
Symmetry-distinct sites (fractional):
Re: 0.000 0.000 0.000 [1 per cell]
Ni: 0.500 0.500 0.000 [1 per cell]
Te: 0.000 0.500 0.731 [2 per cell]


Density functional theory data (PBE-GGA) for ZrNp2N3 after structural relaxation.

Results
formation energy (no corrections) = -1317 meV per atom

Cell: 3.392 3.392 14.300 Å, 90.00 90.00 90.00°
Space group I4/mmm (No. 139)
Symmetry-distinct sites (fractional):
Zr: 0.000 0.000 0.000 [2 per cell]
Np: 0.000 0.000 0.336 [4 per cell]
N: 0.000 0.000 0.162 [4 per cell]
N: 0.000 0.000 0.500 [2 per cell]


Density functional theory data (PBE-GGA) for NaLa5Au6 after structural relaxation.

Results
formation energy = -0.73 eV per atom

Cell: 5.273 16.072 7.515 Å, 90.00 90.00 90.00°
Space group Cmmm (No. 65)
Symmetry-distinct sites (fractional):
Na: 0.000 0.000 0.000 [2 per cell]
La: 0.000 0.000 0.500 [2 per cell]
La: 0.000 0.334 0.500 [4 per cell]
La: 0.000 0.344 0.000 [4 per cell]
Au: 0.000 0.177 0.249 [8 per cell]
Au: 0.000 0.500 0.266 [4 per cell]


Density functional theory data (PBE-GGA) for Nb2PdS5 after structural relaxation.

Results
excess energy over the best structure of this formula in the dataset = 0 meV/atom
formation energy (no corrections) = -877 meV per atom

Cell: 12.571 3.308 15.693 Å, 90.00 106.81 90.00°
Space group C2/m (No. 12)
Symmetry-distinct sites (fractional):
Nb: 0.070 0.000 0.181 [4 per cell]
Nb: 0.146 0.500 0.376 [4 per cell]
Pd: 0.000 0.500 0.000 [2 per cell]
Pd: 0.000 0.500 0.500 [2 per cell]
S: 0.004 0.000 0.689 [4 per cell]
S: 0.079 0.500 0.881 [4 per cell]
S: 0.147 0.000 0.504 [4 per cell]
S: 0.169 0.500 0.114 [4 per cell]
S: 0.244 0.000 0.306 [4 per cell]


Density functional theory data (PBE-GGA) for K3Tb3TmSe8 after structural relaxation.

Results
formation energy (no corrections) = -1679 meV per atom

Cell: 8.3136 8.3136 23.5830 Å, 90.00 90.00 120.00°
Space group R-3m (No. 166, hexagonal axes)
Symmetry-distinct sites (fractional):
K: 0.0000 0.5000 0.0000 [9 per cell]
Tb: 0.0000 0.5000 0.5000 [9 per cell]
Tm: 0.0000 0.0000 0.5000 [3 per cell]
Se: 0.0000 0.0000 0.2354 [6 per cell]
Se: 0.0037 0.5019 0.2338 [18 per cell]


Density functional theory data (PBE-GGA) for TmClF after structural relaxation.

Results
formation energy (no corrections) = -2406 meV per atom

Cell: 4.376 4.377 6.578 Å, 90.00 95.36 90.00°
Space group P2_1/m (No. 11)
Symmetry-distinct sites (fractional):
Tm: 0.250 0.250 0.000 [2 per cell]
Cl: 0.213 0.750 0.735 [2 per cell]
F: 0.273 0.750 0.163 [2 per cell]


Density functional theory data (PBE-GGA) for BaBiOs3 after structural relaxation.

Results
excess energy over the best structure of this formula in the dataset = 0 meV/atom
formation energy = 2.15 eV per atom

Cell: 5.110 5.110 5.110 Å, 90.00 90.00 90.00°
Space group Pm-3m (No. 221)
Symmetry-distinct sites (fractional):
Ba: 0.000 0.000 0.000 [1 per cell]
Bi: 0.500 0.500 0.500 [1 per cell]
Os: 0.000 0.500 0.500 [3 per cell]


Density functional theory data (PBE-GGA) for CrFe2Se4 after structural relaxation.

Results
excess energy over the best structure of this formula in the dataset = 0 meV/atom
formation energy (no corrections) = -294 meV per atom

Cell: 12.729 3.540 6.154 Å, 90.00 116.89 90.00°
Space group C2/m (No. 12)
Symmetry-distinct sites (fractional):
Cr: 0.000 0.000 0.000 [2 per cell]
Fe: 0.243 0.500 0.692 [4 per cell]
Se: 0.114 0.000 0.458 [4 per cell]
Se: 0.140 0.500 0.982 [4 per cell]


Density functional theory data (PBE-GGA) for TbDy3Ru8 after structural relaxation.

Results
formation energy = -0.29 eV per atom

Cell: 5.3269 5.3269 26.2589 Å, 90.00 90.00 120.00°
Space group R3m (No. 160, hexagonal axes)
Symmetry-distinct sites (fractional):
Tb: 0.0000 0.0000 0.0000 [3 per cell]
Dy: 0.0000 0.0000 0.1249 [3 per cell]
Dy: 0.0000 0.0000 0.5001 [3 per cell]
Dy: 0.0000 0.0000 0.6249 [3 per cell]
Ru: 0.0000 0.0000 0.3126 [3 per cell]
Ru: 0.0000 0.0000 0.8126 [3 per cell]
Ru: 0.0001 0.5000 0.0627 [9 per cell]
Ru: 0.1669 0.3339 0.8957 [9 per cell]


Density functional theory data (PBE-GGA) for TbB3O6 after structural relaxation.

Results
excess energy over the best structure of this formula in the dataset = 23 meV/atom
formation energy (no corrections) = -2756 meV per atom

Cell: 8.376 6.153 7.821 Å, 90.00 90.00 90.00°
Space group Pbcn (No. 60)
Symmetry-distinct sites (fractional):
Tb: 0.000 0.006 0.250 [4 per cell]
B: 0.000 0.492 0.750 [4 per cell]
B: 0.184 0.382 0.504 [8 per cell]
O: 0.087 0.355 0.360 [8 per cell]
O: 0.111 0.342 0.663 [8 per cell]
O: 0.161 0.062 0.996 [8 per cell]


Density functional theory data (PBE-GGA) for NbSiO6 after structural relaxation.

Results
formation energy (no corrections) = -1705 meV per atom

Cell: 7.471 7.471 7.471 Å, 90.00 90.00 90.00°
Space group Fm-3m (No. 225)
Symmetry-distinct sites (fractional):
Nb: 0.000 0.000 0.000 [4 per cell]
Si: 0.000 0.000 0.500 [4 per cell]
O: 0.000 0.000 0.266 [24 per cell]